[1]
Entry from Alexandria: a relaxed SrRh3 crystal (GGA-PBE).

```
4
Lattice="4.684 0.000 0.000 2.342 4.056 0.000 2.342 1.352 3.824" Properties=species:S:1:pos:R:3 pbc="T T T"
Sr 2.342 1.352 0.956
Rh 4.684 2.704 1.912
Rh 7.026 4.056 2.868
Rh 0.000 0.000 0.000
```


[2]
Entry from Alexandria: a relaxed Pm2Re2N7 crystal (GGA-PBE).

```
11
Lattice="6.100 0.390 1.051 0.459 5.171 -0.426 0.669 -0.396 6.153" Properties=species:S:1:pos:R:3 pbc="T T T"
Pm 4.939 2.581 4.800
Pm 2.288 2.584 1.978
Re 1.922 0.295 4.976
Re 5.305 4.870 1.802
N 1.087 1.289 3.720
N 4.063 1.173 2.966
N 4.103 3.877 0.889
N 3.125 1.287 5.890
N 0.000 0.000 0.000
N 3.165 3.992 3.812
N 6.141 3.876 3.058
```


| no. | E_tot (eV per cell) | V (Å³/atom) |
| --- | --- | --- |
| 1 | -22.4 | 18.16 |
| 2 | -97.7 | 17.09 |